This record from Alexandria describes a geometry-optimized Na2MnP5O15 structure. The functional is PBE with a Hubbard U.

Values from the calculation:
The calculation puts the total energy at -6.97 eV/atom.

Cell and atoms, written as POSCAR:
```
Na2MnP5O15
1.0
5.3121 0.0000 0.0000
0.0000 13.7408 0.0000
-1.9474 0.0000 8.7036
Na Mn P O
4 2 10 30
Direct
0.0731 0.1107 0.1272 Na
0.0731 0.3893 0.1272 Na
0.9269 0.6107 0.8728 Na
0.9269 0.8893 0.8728 Na
0.5000 0.0000 0.5000 Mn
0.5000 0.5000 0.5000 Mn
0.0159 0.6403 0.4866 P
0.0159 0.8597 0.4866 P
0.3413 0.0793 0.8073 P
0.3413 0.4207 0.8073 P
0.4595 0.7500 0.9974 P
0.5405 0.2500 0.0026 P
0.6587 0.5793 0.1927 P
0.6587 0.9207 0.1927 P
0.9841 0.1403 0.5134 P
0.9841 0.3597 0.5134 P
0.0056 0.2500 0.4594 O
0.1251 0.0789 0.4189 O
0.1251 0.4211 0.4189 O
0.1338 0.1448 0.6888 O
0.1338 0.3552 0.6888 O
0.2047 0.7500 0.8875 O
0.2096 0.0309 0.9179 O
0.2096 0.4691 0.9179 O
0.2924 0.2500 0.0549 O
0.2993 0.6210 0.4927 O
0.2993 0.8790 0.4927 O
0.4524 0.6592 0.1169 O
0.4524 0.8408 0.1169 O
0.4829 0.0134 0.7149 O
0.4829 0.4866 0.7149 O
0.5171 0.5134 0.2851 O
0.5171 0.9866 0.2851 O
0.5476 0.1592 0.8831 O
0.5476 0.3408 0.8831 O
0.7007 0.1210 0.5073 O
0.7007 0.3790 0.5073 O
0.7076 0.7500 0.9451 O
0.7904 0.5309 0.0821 O
0.7904 0.9691 0.0821 O
0.7953 0.2500 0.1125 O
0.8662 0.6448 0.3112 O
0.8662 0.8552 0.3112 O
0.8749 0.5789 0.5811 O
0.8749 0.9211 0.5811 O
0.9944 0.7500 0.5406 O
```